The following is a GGA+U calculation of an optimized crystal structure of NiAg2RhF8, from the Alexandria database.

As for the density of states at the Fermi level: 0.716 states/eV per atom. Its total energy is -0.2988 Ry/atom.

Cell and atoms, written as POSCAR:
```
NiAg2RhF8
1.0
5.088 -0.164 -0.006
-0.155 5.350 -0.003
-0.012 0.022 6.482
F Ni Rh Ag
8 1 1 2
direct
0.188 0.853 0.240 F
0.812 0.147 0.239 F
0.747 0.711 0.500 F
0.742 0.707 0.000 F
0.188 0.853 0.761 F
0.258 0.293 0.000 F
0.253 0.289 0.500 F
0.812 0.147 0.760 F
0.000 0.000 0.500 Ni
0.000 0.000 0.000 Rh
0.500 0.500 0.743 Ag
0.500 0.500 0.257 Ag
```